No. 1
DFT (PBE-GGA) results for a relaxed Ac2CdAg3Ge4 crystal.

Lattice parameters (Å, degrees): 4.5661 4.5661 11.0530 90.00 90.00 90.00
Last column: nearest neighbours and their distance in Å.
Space group P-4m2 (No. 115)
Symmetry-distinct sites (fractional):
1 Ac 0.0000 0.5000 0.2438 [2 per cell]  8 Ge 3.47-3.53, 6 Ag 3.48-3.64, 2 Cd 3.64
2 Cd 0.0000 0.0000 0.5000 [1 per cell]  4 Ge 2.76
3 Ag 0.0000 0.5000 0.8742 [2 per cell]  5 Ge 2.58-2.67
4 Ag 0.5000 0.5000 0.5000 [1 per cell]  4 Ge 2.76
5 Ge 0.0000 0.0000 0.0000 [1 per cell]  4 Ag 2.67
6 Ge 0.0000 0.5000 0.6410 [2 per cell]  3 Ag 2.58-2.76, 2 Cd 2.76
7 Ge 0.5000 0.5000 0.0000 [1 per cell]  4 Ag 2.67

V ... 23.0 Å³ per atom
Energy of formation ... -38.2 kJ/mol of atoms
E ... -40.1 eV per cell

No. 2
DFT (PBE-GGA) results for a relaxed AcCdAgGe2 crystal.

Lattice parameters (Å, degrees): 4.4818 4.4818 11.6885 90.00 90.00 90.00
Last column: nearest neighbours and their distance in Å.
Space group I-4m2 (No. 119)
Symmetry-distinct sites (fractional):
1 Ac 0.0000 0.0000 0.0000 [2 per cell]  8 Ge 3.42, 4 Cd 3.68, 4 Ag 3.68
2 Cd 0.0000 0.5000 0.2500 [2 per cell]  4 Ge 2.78
3 Ag 0.0000 0.5000 0.7500 [2 per cell]  4 Ge 2.78
4 Ge 0.0000 0.0000 0.3901 [4 per cell]  1 Ge 2.57, 2 Cd 2.78, 2 Ag 2.78

V ... 23.5 Å³ per atom
Energy of formation ... -38.8 kJ/mol of atoms
E ... -38.2 eV per cell

No. 3
DFT (PBE-GGA) results for a relaxed AcCdAgGe crystal.

Lattice parameters (Å, degrees): 7.3871 7.3871 7.3871 90.00 90.00 90.00
Last column: nearest neighbours and their distance in Å.
Space group F-43m (No. 216)
Symmetry-distinct sites (fractional):
1 Ac 0.0000 0.0000 0.0000 [4 per cell]  4 Ag 3.20, 4 Ge 3.20
2 Cd 0.0000 0.0000 0.5000 [4 per cell]  4 Ge 3.20, 4 Ag 3.20
3 Ag 0.2500 0.2500 0.7500 [4 per cell]  4 Cd 3.20, 4 Ac 3.20
4 Ge 0.2500 0.2500 0.2500 [4 per cell]  4 Cd 3.20, 4 Ac 3.20

V ... 25.2 Å³ per atom
Energy of formation ... -27.3 kJ/mol of atoms
E ... -54.5 eV per cell

No. 4
DFT (PBE-GGA) results for a relaxed Ac4CdAgHg2 crystal.

Lattice parameters (Å, degrees): 5.7038 5.7038 27.9248 90.00 90.00 120.00
Last column: nearest neighbours and their distance in Å.
Space group R-3m (No. 166, hexagonal axes)
Symmetry-distinct sites (fractional):
1 Ac 0.0000 0.0000 0.1221 [6 per cell]  1 Ag 3.41, 4 Hg 3.44-3.48, 3 Cd 3.52
2 Ac 0.0000 0.0000 0.3725 [6 per cell]  3 Ag 3.47, 4 Hg 3.51-3.55, 1 Cd 3.56
3 Cd 0.0000 0.0000 0.5000 [3 per cell]  8 Ac 3.52-3.56
4 Ag 0.0000 0.0000 0.0000 [3 per cell]  8 Ac 3.41-3.47
5 Hg 0.0000 0.0000 0.2466 [6 per cell]  8 Ac 3.44-3.55

V ... 32.8 Å³ per atom
Energy of formation ... -36.7 kJ/mol of atoms
E ... -71.5 eV per cell

No. 5
DFT (PBE-GGA) results for a relaxed Ac2Cd12Ag3Hg crystal.

Lattice parameters (Å, degrees): 9.6134 9.6134 20.3900 90.00 90.00 120.00
Last column: nearest neighbours and their distance in Å.
Space group R-3m (No. 166, hexagonal axes)
Symmetry-distinct sites (fractional):
1 Ac 0.0000 0.0000 0.0985 [6 per cell]  6 Cd 3.35-3.43
2 Cd 0.0069 0.5034 0.8611 [18 per cell]  1 Ag 2.83, 1 Hg 2.89, 4 Cd 3.04-3.05
3 Cd 0.0651 0.5325 0.3884 [18 per cell]  2 Ag 2.78, 2 Cd 3.04
4 Ag 0.0000 0.5000 0.0000 [9 per cell]  6 Cd 2.78-2.83
5 Hg 0.0000 0.0000 0.5000 [3 per cell]  6 Cd 2.89

V ... 30.2 Å³ per atom
Energy of formation ... 15.7 kJ/mol of atoms
E ... -75.4 eV per cell

No. 6
DFT (PBE-GGA) results for a relaxed Ac2HoCd12Ag3 crystal.

Lattice parameters (Å, degrees): 8.6965 8.6965 24.0372 90.00 90.00 120.00
Last column: nearest neighbours and their distance in Å.
Space group R-3m (No. 166, hexagonal axes)
Symmetry-distinct sites (fractional):
1 Ac 0.0000 0.0000 0.0915 [6 per cell]  6 Cd 3.24-3.40
2 Ho 0.0000 0.0000 0.5000 [3 per cell]  12 Cd 3.09-3.37
3 Cd 0.0871 0.5435 0.2694 [18 per cell]  2 Ag 2.73
4 Cd 0.0913 0.5456 0.8778 [18 per cell]  1 Ag 3.02, 4 Cd 3.11-3.16, 1 Ho 3.37
5 Ag 0.0000 0.5000 0.0000 [9 per cell]  6 Cd 2.73-3.02

V ... 29.2 Å³ per atom
Energy of formation ... 9.6 kJ/mol of atoms
E ... -91.6 eV per cell

No. 7
DFT (PBE-GGA) results for a relaxed Ac2Cd4InAg3 crystal.

Lattice parameters (Å, degrees): 4.5547 4.5547 12.5915 90.00 90.00 90.00
Last column: nearest neighbours and their distance in Å.
Space group P-4m2 (No. 115)
Symmetry-distinct sites (fractional):
1 Ac 0.0000 0.5000 0.2452 [2 per cell]  4 Ag 3.48, 8 Cd 3.53-3.84
2 Cd 0.0000 0.0000 0.0000 [1 per cell]  4 Ag 2.88, 4 Cd 3.22
3 Cd 0.0000 0.5000 0.6403 [2 per cell]  3 Ag 2.76-2.88, 2 In 2.88
4 Cd 0.5000 0.5000 0.0000 [1 per cell]  4 Ag 2.88, 4 Cd 3.22
5 In 0.0000 0.0000 0.5000 [1 per cell]  4 Cd 2.88, 4 Ag 3.22
6 Ag 0.0000 0.5000 0.8595 [2 per cell]  5 Cd 2.76-2.88
7 Ag 0.5000 0.5000 0.5000 [1 per cell]  4 Cd 2.88, 4 In 3.22

V ... 26.1 Å³ per atom
Energy of formation ... -24.7 kJ/mol of atoms
E ... -25.7 eV per cell

No. 8
DFT (PBE-GGA) results for a relaxed AcCdIn2Ag crystal.

Lattice parameters (Å, degrees): 4.8039 4.8039 11.7006 90.00 90.00 90.00
Last column: nearest neighbours and their distance in Å.
Space group I-4m2 (No. 119)
Symmetry-distinct sites (fractional):
1 Ac 0.0000 0.0000 0.0000 [2 per cell]  8 In 3.67, 4 Cd 3.78, 4 Ag 3.78
2 Cd 0.0000 0.5000 0.7500 [2 per cell]  4 In 2.85
3 In 0.0000 0.0000 0.3805 [4 per cell]  1 In 2.80, 2 Cd 2.85, 2 Ag 2.85
4 Ag 0.0000 0.5000 0.2500 [2 per cell]  4 In 2.85

V ... 27.0 Å³ per atom
Energy of formation ... -30.3 kJ/mol of atoms
E ... -29.8 eV per cell

No. 9
DFT (PBE-GGA) results for a relaxed AcCdIn2Ag2 crystal.

Lattice parameters (Å, degrees): 5.4434 5.4434 11.9117 90.00 90.00 90.00
Last column: nearest neighbours and their distance in Å.
Space group I4/mmm (No. 139)
Symmetry-distinct sites (fractional):
1 Ac 0.0000 0.0000 0.0000 [2 per cell]  2 Ag 3.29
2 Cd 0.0000 0.0000 0.5000 [2 per cell]  2 Ag 2.67
3 In 0.0000 0.5000 0.2500 [4 per cell]  4 Ag 2.74
4 Ag 0.0000 0.0000 0.2759 [4 per cell]  1 Cd 2.67, 4 In 2.74

V ... 29.4 Å³ per atom
Energy of formation ... 2.9 kJ/mol of atoms
E ... -32.0 eV per cell

No. 10
DFT (PBE-GGA) results for a relaxed Ac2Cd4In3Ag crystal.

Lattice parameters (Å, degrees): 4.7721 4.7721 11.9837 90.00 90.00 90.00
Last column: nearest neighbours and their distance in Å.
Space group P-4m2 (No. 115)
Symmetry-distinct sites (fractional):
1 Ac 0.0000 0.5000 0.2461 [2 per cell]  6 In 3.64-3.79, 8 Cd 3.65-3.87, 2 Ag 3.79
2 Cd 0.0000 0.0000 0.5000 [1 per cell]  4 In 2.92
3 Cd 0.0000 0.5000 0.8710 [2 per cell]  3 In 2.77-2.84, 2 Ag 2.84
4 Cd 0.5000 0.5000 0.5000 [1 per cell]  4 In 2.92
5 In 0.0000 0.0000 0.0000 [1 per cell]  4 Cd 2.84
6 In 0.0000 0.5000 0.6400 [2 per cell]  5 Cd 2.77-2.92
7 Ag 0.5000 0.5000 0.0000 [1 per cell]  4 Cd 2.84

V ... 27.3 Å³ per atom
Energy of formation ... -28.8 kJ/mol of atoms
E ... -25.9 eV per cell

No. 11
DFT (PBE-GGA) results for a relaxed Ac4Cd2InAg crystal.

Lattice parameters (Å, degrees): 5.7316 5.7316 28.0681 90.00 90.00 120.00
Last column: nearest neighbours and their distance in Å.
Space group R-3m (No. 166, hexagonal axes)
Symmetry-distinct sites (fractional):
1 Ac 0.0000 0.0000 0.1222 [6 per cell]  1 Ag 3.43, 4 Cd 3.46-3.52, 3 In 3.54
2 Ac 0.0000 0.0000 0.3725 [6 per cell]  3 Ag 3.49, 4 Cd 3.51-3.56, 1 In 3.58
3 Cd 0.0000 0.0000 0.2475 [6 per cell]  8 Ac 3.46-3.56
4 In 0.0000 0.0000 0.5000 [3 per cell]  8 Ac 3.54-3.58
5 Ag 0.0000 0.0000 0.0000 [3 per cell]  8 Ac 3.43-3.49

V ... 33.3 Å³ per atom
Energy of formation ... -30.4 kJ/mol of atoms
E ... -79.1 eV per cell

No. 12
DFT (PBE-GGA) results for a relaxed Ac2Cd3In4Ag crystal.

Lattice parameters (Å, degrees): 4.8009 4.8009 11.9027 90.00 90.00 90.00
Last column: nearest neighbours and their distance in Å.
Space group P-4m2 (No. 115)
Symmetry-distinct sites (fractional):
1 Ac 0.0000 0.5000 0.2432 [2 per cell]  8 In 3.66-3.89, 6 Cd 3.67-3.76, 2 Ag 3.76
2 Cd 0.0000 0.0000 0.0000 [1 per cell]  4 In 2.84
3 Cd 0.0000 0.5000 0.6405 [2 per cell]  5 In 2.76-2.93
4 In 0.0000 0.0000 0.5000 [1 per cell]  4 Cd 2.93
5 In 0.0000 0.5000 0.8723 [2 per cell]  3 Cd 2.76-2.84, 2 Ag 2.84
6 In 0.5000 0.5000 0.5000 [1 per cell]  4 Cd 2.93
7 Ag 0.5000 0.5000 0.0000 [1 per cell]  4 In 2.84

V ... 27.4 Å³ per atom
Energy of formation ... -30.9 kJ/mol of atoms
E ... -28.0 eV per cell